# 1
## Tb5SeS4 (PBE)

Data for an optimized crystal structure of Tb5SeS4.

Structure (CIF):
```
data_Tb5SeS4
_chemical_formula_sum 'Tb10 Se2 S8'
_symmetry_space_group_name_H-M 'C 1 2/m 1'
_symmetry_Int_Tables_number 12
_symmetry_space_group_name_Hall '-C 2y'
_cell_length_a 13.1716
_cell_length_b 3.9555
_cell_length_c 9.7045
_cell_angle_alpha 90.00
_cell_angle_beta 119.69
_cell_angle_gamma 90.00
loop_
_atom_site_label
_atom_site_fract_x
_atom_site_fract_y
_atom_site_fract_z
_atom_site_occupancy
Tb1 0.0000 0.0000 0.0000 1
Tb2 0.1078 0.5000 0.3945 1
Tb3 0.2057 0.0000 0.8085 1
Se1 0.0000 0.0000 0.5000 1
S1 0.0970 0.5000 0.8963 1
S2 0.2025 0.0000 0.2968 1
```

# 2
## Tb3TeSeS (PBE)

Data for an optimized crystal structure of Tb3TeSeS.

Structure (CIF):
```
data_Tb3TeSeS
_chemical_formula_sum 'Tb12 Te4 Se4 S4'
_symmetry_space_group_name_H-M 'C 1 2/c 1'
_symmetry_Int_Tables_number 15
_symmetry_space_group_name_Hall '-C 2yc'
_cell_length_a 6.8262
_cell_length_b 14.6464
_cell_length_c 6.7818
_cell_angle_alpha 90.00
_cell_angle_beta 108.67
_cell_angle_gamma 90.00
loop_
_atom_site_label
_atom_site_fract_x
_atom_site_fract_y
_atom_site_fract_z
_atom_site_occupancy
Tb1 0.0000 0.2445 0.2500 1
Tb2 0.2370 0.0704 0.9991 1
Te1 0.0000 0.2510 0.7500 1
Se1 0.0000 0.4349 0.2500 1
S1 0.0000 0.0616 0.2500 1
```

no.,DFT total energy (eV per atom),uncorrected formation energy (eV per formula unit)
1,-6.276,-19.6
2,-5.613,-9.0